{
  "formula": "ScCuBr2",
  "functional": "PBEsol",
  "state": "relaxed",
  "lattice_angstrom": [[-1.7196, 2.1928, 6.7584], [1.7196, -2.1928, 6.7584], [1.7196, 2.1928, -6.7584]],
  "species": ["Sc", "Cu", "Br", "Br"],
  "frac_coords": [[0.0000, 0.0000, 0.0000], [0.5000, 0.5000, 0.0000], [0.1493, 0.6493, 0.5000], [0.8507, 0.3507, 0.5000]],
  "de_polymorph_mev_per_atom": 0.0,
  "energy_ev_per_cell": -17.37,
  "rho_g_cm3": 4.4,
  "e_form_raw_ev_per_atom": -0.67,
  "magnetic_moment_mub_per_atom": 0.000
}

{
  "formula": "Ta2RuPtRh",
  "functional": "PBEsol",
  "state": "relaxed",
  "lattice_angstrom": [[4.6241, 0.0000, 0.0000], [0.0000, 4.6241, 0.0000], [0.0000, 0.0000, 4.5601]],
  "species": ["Ta", "Ta", "Ru", "Pt", "Rh"],
  "frac_coords": [[0.0000, 0.5000, 0.0000], [0.5000, 0.0000, 0.0000], [0.0000, 0.0000, 0.0000], [0.5000, 0.5000, 0.5000], [0.0000, 0.0000, 0.5000]],
  "energy_ev_per_cell": -44.18,
  "rho_g_cm3": 13.0,
  "magnetic_moment_mub_per_atom": 0.000
}

{
  "formula": "LaZn2Re",
  "functional": "PBEsol",
  "state": "relaxed",
  "lattice_angstrom": [[3.9903, 0.0000, 0.0000], [0.0000, 3.9903, 0.0000], [0.0000, 0.0000, 4.6069]],
  "species": ["La", "Zn", "Zn", "Re"],
  "frac_coords": [[0.0000, 0.0000, 0.0000], [0.0000, 0.5000, 0.5000], [0.5000, 0.0000, 0.5000], [0.5000, 0.5000, 0.0000]],
  "de_polymorph_mev_per_atom": 270.6,
  "energy_ev_per_cell": -20.06,
  "rho_g_cm3": 10.3,
  "magnetic_moment_mub_per_atom": 0.000
}

{
  "formula": "Sr2VMoO6",
  "functional": "PBEsol",
  "state": "relaxed",
  "lattice_angstrom": [[5.4911, 0.0000, 0.0000], [0.0000, 5.4911, 0.0000], [0.0000, 0.0000, 3.8902]],
  "species": ["Sr", "Sr", "V", "Mo", "O", "O", "O", "O", "O", "O"],
  "frac_coords": [[0.0000, 0.5000, 0.0000], [0.5000, 0.0000, 0.0000], [0.0000, 0.0000, 0.5000], [0.5000, 0.5000, 0.5000], [0.0000, 0.0000, 0.0000], [0.2469, 0.2469, 0.5000], [0.2469, 0.7531, 0.5000], [0.5000, 0.5000, 0.0000], [0.7531, 0.2469, 0.5000], [0.7531, 0.7531, 0.5000]],
  "de_polymorph_mev_per_atom": 2.5,
  "energy_ev_per_cell": -83.21,
  "rho_g_cm3": 5.9,
  "e_form_raw_ev_per_atom": -2.66,
  "magnetic_moment_mub_per_atom": 0.025
}

{
  "formula": "TlZn2Au2",
  "functional": "PBEsol",
  "state": "relaxed",
  "lattice_angstrom": [[-1.9718, 1.9718, 6.0747], [1.9718, -1.9718, 6.0747], [1.9718, 1.9718, -6.0747]],
  "species": ["Tl", "Zn", "Zn", "Au", "Au"],
  "frac_coords": [[0.0000, 0.0000, 0.0000], [0.3974, 0.3974, 0.0000], [0.6026, 0.6026, 0.0000], [0.2500, 0.7500, 0.5000], [0.7500, 0.2500, 0.5000]],
  "de_polymorph_mev_per_atom": 69.3,
  "energy_ev_per_cell": -13.76,
  "rho_g_cm3": 12.8,
  "magnetic_moment_mub_per_atom": 0.000
}

{
  "formula": "Te2PBr",
  "functional": "PBEsol",
  "state": "relaxed",
  "lattice_angstrom": [[3.8514, 0.0000, 0.0000], [0.0000, 3.5880, 0.0000], [-0.5652, 0.0000, 7.9911]],
  "species": ["Te", "Te", "P", "Br"],
  "frac_coords": [[0.2023, 0.0000, 0.2199], [0.7977, 0.0000, 0.7801], [0.0000, 0.5000, 0.0000], [0.5000, 0.5000, 0.5000]],
  "de_polymorph_mev_per_atom": 172.3,
  "energy_ev_per_cell": -13.69,
  "rho_g_cm3": 5.5,
  "e_form_raw_ev_per_atom": 0.26,
  "magnetic_moment_mub_per_atom": 0.000
}

{
  "formula": "LiZr2W",
  "functional": "PBEsol",
  "state": "relaxed",
  "lattice_angstrom": [[-1.7861, 2.2305, 4.4850], [1.7861, -2.2305, 4.4850], [1.7861, 2.2305, -4.4850]],
  "species": ["Li", "Zr", "Zr", "W"],
  "frac_coords": [[0.0000, 0.0000, 0.0000], [0.4813, 0.4813, 0.0000], [0.7537, 0.2537, 0.5000], [0.2210, 0.7210, 0.5000]],
  "energy_ev_per_cell": -32.58,
  "rho_g_cm3": 8.7,
  "magnetic_moment_mub_per_atom": 0.000
}

{
  "formula": "MgZr2Se",
  "functional": "PBEsol",
  "state": "relaxed",
  "lattice_angstrom": [[3.4180, 0.0000, 0.0000], [0.0000, 3.4180, 0.0000], [0.0000, 0.0000, 7.6724]],
  "species": ["Mg", "Zr", "Zr", "Se"],
  "frac_coords": [[0.0000, 0.0000, 0.0000], [0.0000, 0.0000, 0.4638], [0.5000, 0.5000, 0.7241], [0.5000, 0.5000, 0.3102]],
  "energy_ev_per_cell": -25.66,
  "rho_g_cm3": 5.3,
  "e_form_raw_ev_per_atom": -0.48,
  "magnetic_moment_mub_per_atom": 0.000
}

{
  "formula": "Co3Cu",
  "functional": "PBEsol",
  "state": "relaxed",
  "lattice_angstrom": [[2.4493, 0.0000, 0.0000], [0.0000, 4.0111, 0.0000], [0.0000, 0.0000, 4.2988]],
  "species": ["Co", "Co", "Co", "Cu"],
  "frac_coords": [[0.0000, 0.0000, 0.0000], [0.0000, 0.5000, 0.3239], [0.5000, 0.0000, 0.4942], [0.5000, 0.5000, 0.8240]],
  "energy_ev_per_cell": -27.14,
  "rho_g_cm3": 9.4,
  "magnetic_moment_mub_per_atom": 1.204
}

{
  "formula": "Zr2OsCl",
  "functional": "PBEsol",
  "state": "relaxed",
  "lattice_angstrom": [[0.0000, 3.2837, 3.2837], [3.2837, 0.0000, 3.2837], [3.2837, 3.2837, 0.0000]],
  "species": ["Zr", "Zr", "Os", "Cl"],
  "frac_coords": [[0.0000, 0.0000, 0.0000], [0.2500, 0.2500, 0.2500], [0.7500, 0.7500, 0.7500], [0.5000, 0.5000, 0.5000]],
  "de_polymorph_mev_per_atom": 972.5,
  "energy_ev_per_cell": -30.39,
  "rho_g_cm3": 9.6,
  "e_form_raw_ev_per_atom": 0.50,
  "magnetic_moment_mub_per_atom": 0.181
}

{
  "formula": "TlZnRe2",
  "functional": "PBEsol",
  "state": "relaxed",
  "lattice_angstrom": [[4.3913, 0.0000, 0.0000], [0.0000, 4.3913, 0.0000], [0.0000, 0.0000, 3.2610]],
  "species": ["Tl", "Zn", "Re", "Re"],
  "frac_coords": [[0.0000, 0.0000, 0.0000], [0.5000, 0.5000, 0.0000], [0.0000, 0.5000, 0.5000], [0.5000, 0.0000, 0.5000]],
  "de_polymorph_mev_per_atom": 285.3,
  "energy_ev_per_cell": -26.59,
  "rho_g_cm3": 17.0,
  "magnetic_moment_mub_per_atom": 0.000
}

{
  "formula": "TaCdRe",
  "functional": "PBEsol",
  "state": "relaxed",
  "lattice_angstrom": [[4.5983, 0.0000, 0.0000], [-2.2992, 3.9823, 0.0000], [0.0000, 0.0000, 2.7478]],
  "species": ["Ta", "Cd", "Re"],
  "frac_coords": [[0.0000, 0.0000, 0.0000], [0.6667, 0.3333, 0.3799], [0.3333, 0.6667, 0.7377]],
  "de_polymorph_mev_per_atom": 15.1,
  "energy_ev_per_cell": -26.43,
  "rho_g_cm3": 15.8,
  "magnetic_moment_mub_per_atom": 0.000
}

Number 1: volume 101.9 Å³/f.u.. Number 2: volume 97.5 Å³/f.u.. Number 3: volume 73.4 Å³/f.u.. Number 4: volume 117.3 Å³/f.u.. Number 5: volume 94.5 Å³/f.u.. Number 6: volume 110.4 Å³/f.u.. Number 7: volume 71.5 Å³/f.u.. Number 8: volume 89.6 Å³/f.u.. Number 9: volume 42.2 Å³/f.u.. Number 10: volume 70.8 Å³/f.u.. Number 11: volume 62.9 Å³/f.u.. Number 12: volume 50.3 Å³/f.u..